This record from Alexandria describes a relaxed structure of In2RePt. The functional is PBE-GGA.

```
data_In2RePt
_cell_length_a 2.933
_cell_length_b 3.894
_cell_length_c 6.235
_cell_angle_alpha 90.00
_cell_angle_beta 90.00
_cell_angle_gamma 90.00
_symmetry_space_group_name_H-M 'P m m m'
_symmetry_Int_Tables_number 47
loop_
_symmetry_equiv_pos_as_xyz
'x,y,z'
'-x,-y,-z'
'-x,-y,z'
'x,y,-z'
'x,-y,-z'
'-x,y,z'
'-x,y,-z'
'x,-y,z'
loop_
_atom_site_label
_atom_site_type_symbol
_atom_site_fract_x
_atom_site_fract_y
_atom_site_fract_z
_atom_site_occupancy
In1 In 0.000 0.000 0.248 1
Re1 Re 0.500 0.500 0.000 1
Pt1 Pt 0.500 0.500 0.500 1
```

## Properties
M_tot   0.0 μB/f.u.
Offset from the most stable computed form   71 meV per atom
Formation enthalpy at 0 K   0.91 eV/f.u.


This record from Alexandria describes a relaxed structure of Ti3TeF. The functional is PBE-GGA.

```
data_Ti3TeF
_cell_length_a 5.244
_cell_length_b 5.244
_cell_length_c 5.244
_cell_angle_alpha 90.00
_cell_angle_beta 90.00
_cell_angle_gamma 90.00
_symmetry_space_group_name_H-M 'P m -3 m'
_symmetry_Int_Tables_number 221
_symmetry_space_group_name_Hall '-P 4 2 3'
loop_
_atom_site_label
_atom_site_type_symbol
_atom_site_fract_x
_atom_site_fract_y
_atom_site_fract_z
_atom_site_occupancy
Ti1 Ti 0.000 0.000 0.500 1
Te1 Te 0.000 0.000 0.000 1
F1 F 0.500 0.500 0.500 1
```

## Properties
M_tot   8.4 μB/f.u.
Uncorrected formation energy   0.654 eV/atom
Offset from the most stable computed form   1285 meV per atom


This record from Alexandria describes a relaxed structure of OsSe2Cl8. The functional is PBE-GGA.

```
data_OsSe2Cl8
_cell_length_a 5.233
_cell_length_b 6.977
_cell_length_c 9.895
_cell_angle_alpha 79.09
_cell_angle_beta 81.29
_cell_angle_gamma 88.31
_symmetry_space_group_name_H-M 'P -1'
_symmetry_Int_Tables_number 2
loop_
_symmetry_equiv_pos_as_xyz
'x,y,z'
'-x,-y,-z'
loop_
_atom_site_label
_atom_site_type_symbol
_atom_site_fract_x
_atom_site_fract_y
_atom_site_fract_z
_atom_site_occupancy
Os1 Os 0.000 0.000 0.000 1
Se1 Se 0.258 0.186 0.113 1
Cl1 Cl 0.106 0.146 0.335 1
Cl2 Cl 0.198 0.705 0.089 1
Cl3 Cl 0.338 0.044 0.813 1
Cl4 Cl 0.344 0.557 0.550 1
```

## Properties
M_tot   0.0 μB/f.u.
Uncorrected formation energy   -0.201 eV/atom


This record from Alexandria describes a relaxed structure of CeEr2Zr. The functional is PBE-GGA.

```
data_CeEr2Zr
_cell_length_a 3.3796
_cell_length_b 3.3796
_cell_length_c 33.6530
_cell_angle_alpha 90.00
_cell_angle_beta 90.00
_cell_angle_gamma 120.00
_symmetry_space_group_name_H-M 'R -3 m'
_symmetry_Int_Tables_number 166
_symmetry_space_group_name_Hall '-R 3 2"'
loop_
_atom_site_label
_atom_site_type_symbol
_atom_site_fract_x
_atom_site_fract_y
_atom_site_fract_z
_atom_site_occupancy
Ce1 Ce 0.0000 0.0000 0.0000 1
Er1 Er 0.0000 0.0000 0.2460 1
Zr1 Zr 0.0000 0.0000 0.5000 1
```

## Properties
M_tot   0.6 μB/f.u.
Offset from the most stable computed form   0 meV per atom
Formation enthalpy at 0 K   0.38 eV/f.u.


This record from Alexandria describes a relaxed structure of Er7HgPb4. The functional is PBE-GGA.

```
data_Er7HgPb4
_cell_length_a 15.144
_cell_length_b 5.579
_cell_length_c 11.180
_cell_angle_alpha 90.00
_cell_angle_beta 128.19
_cell_angle_gamma 90.00
_symmetry_space_group_name_H-M 'C 1 2/m 1'
_symmetry_Int_Tables_number 12
loop_
_symmetry_equiv_pos_as_xyz
'x,y,z'
'-x,-y,-z'
'-x,y,-z'
'x,-y,z'
'x+1/2,y+1/2,z'
'-x+1/2,-y+1/2,-z'
'-x+1/2,y+1/2,-z'
'x+1/2,-y+1/2,z'
loop_
_atom_site_label
_atom_site_type_symbol
_atom_site_fract_x
_atom_site_fract_y
_atom_site_fract_z
_atom_site_occupancy
Er1 Er 0.000 0.000 0.000 1
Er2 Er 0.081 0.500 0.316 1
Er3 Er 0.148 0.000 0.570 1
Er4 Er 0.205 0.500 0.864 1
Hg1 Hg 0.000 0.500 0.000 1
Pb1 Pb 0.079 0.000 0.783 1
Pb2 Pb 0.221 0.000 0.338 1
```

## Properties
M_tot   0.0 μB/f.u.
Formation enthalpy at 0 K   -2.23 eV/f.u.


This record from Alexandria describes a relaxed structure of Dy2LuIn. The functional is PBE-GGA.

```
data_Dy2LuIn
_cell_length_a 7.652
_cell_length_b 7.652
_cell_length_c 7.652
_cell_angle_alpha 90.00
_cell_angle_beta 90.00
_cell_angle_gamma 90.00
_symmetry_space_group_name_H-M 'F m -3 m'
_symmetry_Int_Tables_number 225
_symmetry_space_group_name_Hall '-F 4 2 3'
loop_
_atom_site_label
_atom_site_type_symbol
_atom_site_fract_x
_atom_site_fract_y
_atom_site_fract_z
_atom_site_occupancy
Dy1 Dy 0.250 0.250 0.250 1
Lu1 Lu 0.000 0.000 0.000 1
In1 In 0.000 0.000 0.500 1
```

## Properties
M_tot   0.4 μB/f.u.
Offset from the most stable computed form   118 meV per atom
Formation enthalpy at 0 K   -0.57 eV/f.u.